Record 1
9
Lattice="-3.743 -0.260 2.600 0.601 -7.484 0.117 3.375 4.148 5.272" Properties=species:S:1:pos:R:3 comment="PBE-GGA GdY2Mg3ZnIn2, relaxed" sg=Amm2 vol_a3_per_atom=24.71 total_energy_ev_per_atom=-3.6017 pbc="T T T"
Mg -1.412 -5.853 1.389
Mg -0.933 -0.917 2.572
Mg 0.709 3.042 5.331
In 0.579 0.149 4.855
In -0.349 -3.742 3.130
Y 2.000 -5.762 2.302
Y 3.623 1.044 5.319
Zn 0.005 -0.004 0.006
Gd 2.324 -1.950 3.150

Record 2
3
Lattice="0.000 3.517 3.517 3.517 0.000 3.517 3.517 3.517 0.000" Properties=species:S:1:pos:R:3 comment="PBE-GGA NaGdIn, relaxed" sg=F-43m vol_a3_per_atom=29.01 total_energy_ev_per_atom=-2.6427 relative_energy_ev_per_fu=0.00 pbc="T T T"
Na 0.000 0.000 0.000
Gd 1.759 1.759 1.759
In 5.276 5.276 5.276

Record 3
3
Lattice="3.270 -0.405 3.988 -1.836 -0.562 4.804 0.532 -4.520 2.460" Properties=species:S:1:pos:R:3 comment="PBE-GGA NaGdIn, relaxed" sg=F-43m vol_a3_per_atom=32.64 total_energy_ev_per_atom=-2.5469 relative_energy_ev_per_fu=0.29 pbc="T T T"
Gd 0.000 0.000 0.000
Na 1.474 -4.115 8.439
In 0.491 -1.372 2.813

Record 4
12
Lattice="2.138 -7.188 0.000 2.138 7.188 0.000 0.000 0.000 10.928" Properties=species:S:1:pos:R:3 comment="PBE-GGA NaGdInSe3, relaxed" sg=Cmcm vol_a3_per_atom=28.00 total_energy_ev_per_atom=-4.2256 pbc="T T T"
In 2.138 -6.773 2.732
In 2.138 6.773 8.196
Se 2.138 5.215 10.390
Se 2.138 1.351 8.196
Se 2.138 -5.215 0.538
Se 2.138 5.215 6.002
Se 2.138 -1.351 2.732
Se 2.138 -5.215 4.926
Gd 2.138 0.000 5.464
Gd 2.138 0.000 0.000
Na 2.138 -3.567 8.196
Na 2.138 3.567 2.732

Record 5
4
Lattice="-2.824 3.961 -0.808 -4.033 -2.828 0.235 -0.277 0.803 4.904" Properties=species:S:1:pos:R:3 comment="PBE-GGA Nd2GdIn, relaxed" sg=P4/mmm vol_a3_per_atom=30.26 total_energy_ev_per_atom=-4.5071 pbc="T T T"
Nd -2.155 -1.012 2.570
Nd -1.551 2.382 2.048
In 0.000 0.000 0.000
Gd -3.429 0.566 -0.286

Record 6
7
Lattice="4.718 0.000 0.000 0.000 4.718 0.000 0.000 0.000 8.700" Properties=species:S:1:pos:R:3 comment="PBE-GGA NdGdIn5, relaxed" sg=P4/mmm vol_a3_per_atom=27.67 total_energy_ev_per_atom=-3.6417 pbc="T T T"
In 2.359 2.359 0.000
In 2.359 0.000 6.394
In 0.000 2.359 2.306
In 0.000 2.359 6.394
In 2.359 0.000 2.306
Nd 0.000 0.000 0.000
Gd 0.000 0.000 4.350

Record 7
4
Lattice="-3.682 -0.958 0.066 0.371 -1.178 3.599 -1.798 7.084 2.504" Properties=species:S:1:pos:R:3 comment="PBE-GGA NdGdIn2, relaxed" sg=P4/mmm vol_a3_per_atom=27.96 total_energy_ev_per_atom=-4.2141 relative_energy_ev_per_fu=0.00 pbc="T T T"
Gd -2.555 2.474 3.084
In -1.335 5.260 1.859
In -0.463 1.824 0.645
Nd -1.656 -1.068 1.832

Record 8
4
Lattice="4.394 0.000 0.000 0.000 2.319 5.861 0.000 -2.319 5.861" Properties=species:S:1:pos:R:3 comment="PBE-GGA NdGdIn2, relaxed" sg=Amm2 vol_a3_per_atom=29.86 total_energy_ev_per_atom=-4.1644 relative_energy_ev_per_fu=0.20 pbc="T T T"
In 2.197 0.000 0.985
In 0.000 0.000 10.756
Gd 0.000 0.000 7.486
Nd 2.197 0.000 4.219

Record 9
8
Lattice="-3.892 1.443 1.556 0.112 -2.821 -3.417 -0.277 -6.740 5.554" Properties=species:S:1:pos:R:3 comment="PBE-GGA NdGdIn2Ni4, relaxed" sg=P-6m2 vol_a3_per_atom=18.58 total_energy_ev_per_atom=-5.0223 pbc="T T T"
Gd 0.000 0.000 0.000
Ni -1.454 -7.018 2.871
Ni -0.089 -2.156 1.776
Ni -1.269 -2.521 -0.836
Ni -0.189 -4.584 3.778
In -2.767 -5.075 4.099
In -2.625 -1.621 1.252
Nd -1.361 -4.769 1.018

Record 10
5
Lattice="3.757 0.000 0.000 0.000 1.988 7.232 0.000 -1.988 7.232" Properties=species:S:1:pos:R:3 comment="PBE-GGA NdGdInNi2, relaxed" sg=Amm2 vol_a3_per_atom=21.61 total_energy_ev_per_atom=-5.1443 pbc="T T T"
Gd 0.000 0.000 9.228
Ni 1.879 0.000 2.866
Ni 1.879 0.000 11.525
In 1.879 0.000 0.050
Nd 0.000 0.000 5.258

Record 11
8
Lattice="4.634 0.000 0.000 -2.317 4.013 0.000 0.000 0.000 9.069" Properties=species:S:1:pos:R:3 comment="PBE-GGA NdGdIn2Pd4, relaxed" sg=P-6m2 vol_a3_per_atom=21.08 total_energy_ev_per_atom=-5.2520 pbc="T T T"
Pd 0.000 0.000 7.532
Pd 0.000 2.675 3.075
Pd 0.000 0.000 1.536
Pd 0.000 2.675 5.994
Gd 0.000 0.000 4.534
In 2.317 1.338 2.298
In 2.317 1.338 6.771
Nd 0.000 2.675 0.000

Record 12
8
Lattice="-2.249 -1.234 -3.845 4.611 0.320 -0.022 0.621 -8.789 2.457" Properties=species:S:1:pos:R:3 comment="PBE-GGA NdGdIn2Pt4, relaxed" sg=P-6m2 vol_a3_per_atom=21.16 total_energy_ev_per_atom=-5.8241 pbc="T T T"
In 2.478 -2.376 -0.687
In 2.792 -6.809 0.552
Pt 0.135 -2.096 -2.185
Pt 0.208 -2.945 0.823
Pt 0.561 -8.125 -0.499
Pt 0.413 -5.844 1.634
Gd 0.000 0.000 0.000
Nd 0.348 -5.110 -1.342

Record 13
6
Lattice="5.429 0.000 0.000 -2.715 4.702 0.000 0.000 0.000 6.802" Properties=species:S:1:pos:R:3 comment="PBE-GGA NdGd2TmIn2, relaxed" sg=P-6m2 vol_a3_per_atom=28.94 total_energy_ev_per_atom=-4.3461 pbc="T T T"
In 2.715 1.567 0.000
In 0.000 0.000 3.401
Gd 0.000 3.135 1.651
Gd 0.000 3.135 5.151
Nd 2.715 1.567 3.401
Tm 0.000 0.000 0.000

Record 14
6
Lattice="-2.582 3.831 -0.887 -0.176 -3.683 -2.921 -5.657 -2.890 3.985" Properties=species:S:1:pos:R:3 comment="PBE-GGA NdGdZn2In2, relaxed" sg=P3m1 vol_a3_per_atom=23.95 total_energy_ev_per_atom=-3.3852 pbc="T T T"
Zn -2.989 0.708 -0.714
Zn -5.078 -3.273 0.644
Gd -0.118 -0.060 0.083
Nd -2.944 -1.504 2.074
In -2.617 -2.016 -1.089
In -6.310 -0.988 1.625

Record 15
24
Lattice="-2.805 -3.977 6.642 3.000 -7.071 -2.967 4.185 0.827 2.263" Properties=species:S:1:pos:R:3 comment="PBE-GGA GdIn2Ni9, relaxed" sg=P4/mbm vol_a3_per_atom=13.64 total_energy_ev_per_atom=-5.2503 pbc="T T T"
Ni 1.778 -3.317 5.670
Ni 0.759 -7.853 4.025
Ni -0.329 -3.733 4.531
Ni 2.961 -4.742 1.408
Ni 1.750 -3.397 3.157
Ni 3.593 -3.122 -0.352
Ni 3.621 -2.368 1.913
Ni 4.709 -6.488 1.406
Ni 1.515 -2.784 0.774
Ni 2.603 -6.904 0.267
Ni 1.705 -0.860 2.313
Ni 0.086 -4.769 6.736
Ni 2.630 -6.824 2.781
Ni 0.690 -1.575 4.452
Ni 2.865 -7.437 5.163
Ni 4.294 -5.452 -0.799
Ni 2.675 -9.362 3.625
Ni 1.419 -5.480 4.529
In 1.525 -4.913 -1.025
In -0.679 -2.374 2.123
In -1.329 -6.135 4.700
In 0.874 -8.674 1.552
Gd 0.098 -5.524 1.838
Gd 0.000 0.000 0.000

Record 16
6
Lattice="-4.390 -0.123 2.372 -4.022 -1.870 -2.289 -1.913 -4.365 1.485" Properties=species:S:1:pos:R:3 comment="PBE-GGA GdInNi4, relaxed" sg=F-43m vol_a3_per_atom=14.66 total_energy_ev_per_atom=-5.3275 pbc="T T T"
In -7.744 -4.769 1.176
Ni -5.877 -3.318 -0.545
Ni -6.060 -2.452 1.766
Ni -3.883 -2.391 0.590
Ni -4.831 -4.555 1.326
Gd 0.000 0.000 0.000

Record 17
9
Lattice="-2.462 3.053 -3.597 1.035 1.041 -5.115 -4.710 -6.920 -1.679" Properties=species:S:1:pos:R:3 comment="PBE-GGA Gd3In2Ni4, relaxed" sg=C2/m vol_a3_per_atom=19.82 total_energy_ev_per_atom=-5.0560 pbc="T T T"
In -3.860 -3.667 -4.033
In -2.276 0.840 -6.357
Ni -3.776 -1.056 -7.298
Ni -2.361 -1.770 -3.092
Ni -5.456 -2.292 -9.532
Ni -0.680 -0.535 -0.858
Gd -5.061 -3.541 -6.966
Gd -1.075 0.714 -3.424
Gd -2.355 -3.460 -0.839

Record 18
9
Lattice="7.624 0.000 0.000 -3.812 6.603 0.000 0.000 0.000 3.911" Properties=species:S:1:pos:R:3 comment="PBE-GGA Gd3In3NiPd2, relaxed" sg=P-62m vol_a3_per_atom=21.87 total_energy_ev_per_atom=-4.9585 pbc="T T T"
In -0.938 1.624 1.955
In 2.874 4.978 1.955
In 1.876 0.000 1.955
Gd -2.257 3.910 0.000
Gd 1.555 2.693 0.000
Gd 4.514 0.000 0.000
Pd 3.812 2.201 1.955
Pd 0.000 4.402 1.955
Ni 0.000 0.000 0.000

Record 19
9
Lattice="7.543 0.000 0.000 -3.772 6.533 0.000 0.000 0.000 3.892" Properties=species:S:1:pos:R:3 comment="PBE-GGA Gd3In3Ni2Pd, relaxed" sg=P-62m vol_a3_per_atom=21.31 total_energy_ev_per_atom=-4.8695 pbc="T T T"
Ni 3.772 2.178 1.946
Ni 0.000 4.355 1.946
In -0.993 1.720 1.946
In 1.986 0.000 1.946
In 2.779 4.813 1.946
Gd 1.552 2.688 0.000
Gd -2.220 3.845 0.000
Gd 4.439 0.000 0.000
Pd 0.000 0.000 0.000

Record 20
8
Lattice="-1.897 1.513 -3.712 0.494 -4.364 0.619 -7.892 -0.341 3.894" Properties=species:S:1:pos:R:3 comment="PBE-GGA PrGdIn2Ni4, relaxed" sg=P-6m2 vol_a3_per_atom=18.75 total_energy_ev_per_atom=-5.0171 relative_energy_ev_per_fu=0.46 pbc="T T T"
Ni -6.493 -0.679 0.393
Ni -6.889 -2.689 2.425
Ni -3.599 -0.554 -1.036
Ni -1.609 -2.461 -0.181
In -5.983 -0.258 2.953
In -1.908 -0.082 0.942
Pr -4.249 -2.575 1.122
Gd -1.100 -0.446 -2.269